No. 1
# PBE SrSbIr4, optimized geometry
data_SrSbIr4
_cell_length_a 7.651
_cell_length_b 7.651
_cell_length_c 7.651
_cell_angle_alpha 90.00
_cell_angle_beta 90.00
_cell_angle_gamma 90.00
_space_group_name_H-M_alt 'F -4 3 m'
_space_group_IT_number 216
_space_group_name_Hall 'F -4 2 3'
loop_
_atom_site_label
_atom_site_type_symbol
_atom_site_fract_x
_atom_site_fract_y
_atom_site_fract_z
_atom_site_occupancy
Sr1 Sr 0.000 0.000 0.000 1
Sb1 Sb 0.250 0.250 0.250 1
Ir1 Ir 0.125 0.125 0.625 1
# - crystal system = cubic
# - raw formation energy (eV/atom) = 0.03

No. 2
# PBE Sr4SbIr, optimized geometry
data_Sr4SbIr
_cell_length_a 9.177
_cell_length_b 9.177
_cell_length_c 9.177
_cell_angle_alpha 90.00
_cell_angle_beta 90.00
_cell_angle_gamma 90.00
_space_group_name_H-M_alt 'F -4 3 m'
_space_group_IT_number 216
_space_group_name_Hall 'F -4 2 3'
loop_
_atom_site_label
_atom_site_type_symbol
_atom_site_fract_x
_atom_site_fract_y
_atom_site_fract_z
_atom_site_occupancy
Sr1 Sr 0.124 0.124 0.124 1
Sb1 Sb 0.000 0.000 0.500 1
Ir1 Ir 0.250 0.250 0.750 1
# - crystal system = cubic
# - raw formation energy (eV/atom) = 0.60

No. 3
# PBE Sr2SbTeIr, optimized geometry
data_Sr2SbTeIr
_cell_length_a 5.961
_cell_length_b 5.961
_cell_length_c 4.877
_cell_angle_alpha 90.00
_cell_angle_beta 90.00
_cell_angle_gamma 90.00
_space_group_name_H-M_alt 'P 4/m m m'
_space_group_IT_number 123
_space_group_name_Hall '-P 4 2'
loop_
_atom_site_label
_atom_site_type_symbol
_atom_site_fract_x
_atom_site_fract_y
_atom_site_fract_z
_atom_site_occupancy
Sr1 Sr 0.000 0.500 0.000 1
Sb1 Sb 0.000 0.000 0.500 1
Te1 Te 0.500 0.500 0.500 1
Ir1 Ir 0.000 0.000 0.000 1
# - crystal system = tetragonal
# - raw formation energy (eV/atom) = -0.72
# - polymorph energy (0 for the lowest one) (eV per atom) = 0.000

No. 4
# PBE Sr2SbTeIr, optimized geometry
data_Sr2SbTeIr
_cell_length_a 6.272
_cell_length_b 6.272
_cell_length_c 4.808
_cell_angle_alpha 90.00
_cell_angle_beta 90.00
_cell_angle_gamma 90.00
_space_group_name_H-M_alt 'P 4/m m m'
_space_group_IT_number 123
_space_group_name_Hall '-P 4 2'
loop_
_atom_site_label
_atom_site_type_symbol
_atom_site_fract_x
_atom_site_fract_y
_atom_site_fract_z
_atom_site_occupancy
Sr1 Sr 0.000 0.500 0.000 1
Sb1 Sb 0.000 0.000 0.000 1
Te1 Te 0.500 0.500 0.500 1
Ir1 Ir 0.000 0.000 0.500 1
# - crystal system = tetragonal
# - raw formation energy (eV/atom) = -0.29
# - polymorph energy (0 for the lowest one) (eV per atom) = 0.429